1.
! GGA-PBE H2PbS, optimized geometry; values from VASP
! V ... 237.81 Å³ per cell
! Energy above the lowest structure with this stoichiometry ... 0.642 eV/atom
! Symmetry ... I-42d
! N(E_F) ... 0.31 states/eV/f.u.
&SYSTEM
  ibrav = 0, nat = 16, ntyp = 3
/
ATOMIC_SPECIES
H 1.01 H.upf
Pb 207.20 Pb.upf
S 32.06 S.upf
ATOMIC_POSITIONS angstrom
H 0.786 1.047 1.696
H 1.047 2.879 5.089
H 1.047 3.400 11.875
H 1.307 1.047 8.482
H 2.879 3.140 8.482
H 3.140 0.786 11.875
H 3.140 1.307 5.089
H 3.400 3.140 1.696
Pb 0.000 0.000 6.786
Pb 0.000 2.093 10.179
Pb 2.093 0.000 3.393
Pb 2.093 2.093 0.000
S 0.000 0.000 0.000
S 0.000 2.093 3.393
S 2.093 0.000 10.179
S 2.093 2.093 6.786
CELL_PARAMETERS angstrom
4.186 0.000 0.000
0.000 4.186 0.000
0.000 0.000 13.571

=====

2.
! GGA-PBE HPb2S, optimized geometry; values from VASP
! V ... 416.70 Å³ per cell
! Energy above the lowest structure with this stoichiometry ... 0.000 eV/atom
! Symmetry ... I-42d
! N(E_F) ... 1.76 states/eV/f.u.
&SYSTEM
  ibrav = 0, nat = 16, ntyp = 3
/
ATOMIC_SPECIES
H 1.01 H.upf
Pb 207.20 Pb.upf
S 32.06 S.upf
ATOMIC_POSITIONS angstrom
H 0.000 0.000 0.000
H 0.000 3.112 2.689
H 3.112 0.000 8.068
H 3.112 3.112 5.379
Pb 1.191 1.556 1.345
Pb 1.556 4.302 4.034
Pb 1.556 5.033 9.413
Pb 1.921 1.556 6.724
Pb 4.302 4.668 6.724
Pb 4.668 1.191 9.413
Pb 4.668 1.921 4.034
Pb 5.033 4.668 1.345
S 0.000 0.000 5.379
S 0.000 3.112 8.068
S 3.112 0.000 2.689
S 3.112 3.112 0.000
CELL_PARAMETERS angstrom
6.224 0.000 0.000
0.000 6.224 0.000
0.000 0.000 10.758

=====

3.
! GGA-PBE H2PbS, optimized geometry; values from VASP
! V ... 166.84 Å³ per cell
! Energy above the lowest structure with this stoichiometry ... 0.710 eV/atom
! Symmetry ... R-3m
! N(E_F) ... 1.59 states/eV/f.u.
&SYSTEM
  ibrav = 0, nat = 12, ntyp = 3
/
ATOMIC_SPECIES
H 1.01 H.upf
Pb 207.20 Pb.upf
S 32.06 S.upf
ATOMIC_POSITIONS angstrom
H 0.000 0.000 2.549
H 0.000 0.000 14.666
H 0.000 1.931 8.928
H 0.000 1.931 14.025
H 1.673 0.966 3.190
H 1.673 0.966 8.287
Pb 0.000 0.000 0.000
Pb 0.000 1.931 11.477
Pb 1.673 0.966 5.738
S 0.000 0.000 8.607
S 0.000 1.931 2.869
S 1.673 0.966 14.346
CELL_PARAMETERS angstrom
3.345 0.000 0.000
-1.673 2.897 0.000
0.000 0.000 17.215

=====

4.
! GGA-PBE H2PbS, optimized geometry; values from VASP
! V ... 315.18 Å³ per cell
! Energy above the lowest structure with this stoichiometry ... 0.000 eV/atom
! Symmetry ... C2/m
! N(E_F) ... 0.52 states/eV/f.u.
&SYSTEM
  ibrav = 0, nat = 16, ntyp = 3
/
ATOMIC_SPECIES
H 1.01 H.upf
Pb 207.20 Pb.upf
S 32.06 S.upf
ATOMIC_POSITIONS angstrom
H 3.762 0.000 0.878
H 3.560 1.803 3.710
H 4.301 0.000 1.404
H 4.099 1.803 4.236
H 12.308 1.803 0.878
H 12.106 0.000 3.710
H 12.848 1.803 1.404
H 12.646 0.000 4.236
Pb 0.955 1.803 1.432
Pb 6.906 0.000 3.682
Pb 9.501 0.000 1.432
Pb 15.453 1.803 3.682
S 0.573 0.000 3.980
S 7.288 1.803 1.134
S 9.119 1.803 3.980
S 15.835 0.000 1.134
CELL_PARAMETERS angstrom
17.093 0.000 0.000
0.000 3.606 0.000
-0.686 0.000 5.114

=====

5.
! GGA-PBE H2PbS8, optimized geometry; values from VASP
! V ... 267.78 Å³ per cell
! Final energy ... -3.922 eV/atom
! Symmetry ... P-1
! N(E_F) ... 3.21 states/eV/f.u.
&SYSTEM
  ibrav = 0, nat = 11, ntyp = 3
/
ATOMIC_SPECIES
H 1.01 H.upf
Pb 207.20 Pb.upf
S 32.06 S.upf
ATOMIC_POSITIONS angstrom
H 0.382 1.815 0.232
H 2.051 3.900 6.818
Pb 1.217 2.857 3.525
S -0.291 1.273 1.333
S -0.742 1.950 5.459
S -1.112 3.766 6.253
S -0.227 5.462 3.431
S 2.660 0.253 3.619
S 3.545 1.949 0.797
S 3.175 3.765 1.590
S 2.724 4.442 5.717
CELL_PARAMETERS angstrom
5.737 0.000 0.000
-1.540 6.621 0.000
-1.764 -0.906 7.050

=====

6.
! GGA-PBE HPbS2, optimized geometry; values from VASP
! V ... 217.45 Å³ per cell
! Energy above the lowest structure with this stoichiometry ... 0.946 eV/atom
! Symmetry ... R-3m
! N(E_F) ... 3.19 states/eV/f.u.
&SYSTEM
  ibrav = 0, nat = 12, ntyp = 3
/
ATOMIC_SPECIES
H 1.01 H.upf
Pb 207.20 Pb.upf
S 32.06 S.upf
ATOMIC_POSITIONS angstrom
H 0.000 0.000 0.000
H 0.000 1.914 15.230
H 1.658 0.957 7.615
Pb 0.000 0.000 11.422
Pb 0.000 1.914 3.807
Pb 1.658 0.957 19.037
S 0.000 0.000 8.659
S 0.000 0.000 14.185
S 0.000 1.914 1.044
S 0.000 1.914 6.571
S 1.658 0.957 16.274
S 1.658 0.957 21.800
CELL_PARAMETERS angstrom
3.315 0.000 0.000
-1.658 2.871 0.000
0.000 0.000 22.844

=====

7.
! GGA-PBE H2PbS, optimized geometry; values from VASP
! V ... 218.55 Å³ per cell
! Energy above the lowest structure with this stoichiometry ... 0.767 eV/atom
! Symmetry ... Fm-3m
! N(E_F) ... 1.79 states/eV/f.u.
&SYSTEM
  ibrav = 0, nat = 16, ntyp = 3
/
ATOMIC_SPECIES
H 1.01 H.upf
Pb 207.20 Pb.upf
S 32.06 S.upf
ATOMIC_POSITIONS angstrom
H 1.506 1.506 1.506
H 1.506 1.506 4.518
H 1.506 4.518 1.506
H 1.506 4.518 4.518
H 4.518 1.506 1.506
H 4.518 1.506 4.518
H 4.518 4.518 1.506
H 4.518 4.518 4.518
Pb 0.000 0.000 0.000
Pb 0.000 3.012 3.012
Pb 3.012 0.000 3.012
Pb 3.012 3.012 0.000
S 0.000 0.000 3.012
S 0.000 3.012 0.000
S 3.012 0.000 0.000
S 3.012 3.012 3.012
CELL_PARAMETERS angstrom
6.023 0.000 0.000
0.000 6.023 0.000
0.000 0.000 6.023

=====

8.
! GGA-PBE HPbS2, optimized geometry; values from VASP
! V ... 283.97 Å³ per cell
! Energy above the lowest structure with this stoichiometry ... 0.046 eV/atom
! Symmetry ... R-3m
! N(E_F) ... 2.79 states/eV/f.u.
&SYSTEM
  ibrav = 0, nat = 12, ntyp = 3
/
ATOMIC_SPECIES
H 1.01 H.upf
Pb 207.20 Pb.upf
S 32.06 S.upf
ATOMIC_POSITIONS angstrom
H 0.000 0.000 0.000
H 0.000 2.415 12.494
H 2.091 1.207 6.247
Pb 0.000 0.000 9.371
Pb 0.000 2.415 3.124
Pb 2.091 1.207 15.618
S 0.000 0.000 1.619
S 0.000 0.000 17.122
S 0.000 2.415 10.875
S 0.000 2.415 14.113
S 2.091 1.207 4.628
S 2.091 1.207 7.866
CELL_PARAMETERS angstrom
4.183 0.000 0.000
-2.091 3.622 0.000
0.000 0.000 18.741

=====

9.
! GGA-PBE H2Pb3S3, optimized geometry; values from VASP
! V ... 204.04 Å³ per cell
! Final energy ... -3.985 eV/atom
! Symmetry ... P-1
! N(E_F) ... 0.26 states/eV/f.u.
&SYSTEM
  ibrav = 0, nat = 8, ntyp = 3
/
ATOMIC_SPECIES
H 1.01 H.upf
Pb 207.20 Pb.upf
S 32.06 S.upf
ATOMIC_POSITIONS angstrom
H 0.030 1.590 4.949
H 2.061 2.721 6.194
Pb -0.036 3.783 8.549
Pb 2.065 2.216 0.000
Pb 2.127 0.528 2.594
S 0.000 0.000 0.000
S 0.046 2.169 3.724
S 2.045 2.142 7.419
CELL_PARAMETERS angstrom
4.131 0.000 0.000
0.000 4.433 0.000
-2.040 -0.121 11.143

=====

10.
! GGA-PBE HPb2S, optimized geometry; values from VASP
! V ... 350.26 Å³ per cell
! Energy above the lowest structure with this stoichiometry ... 0.114 eV/atom
! Symmetry ... Fm-3m
! N(E_F) ... 2.37 states/eV/f.u.
&SYSTEM
  ibrav = 0, nat = 16, ntyp = 3
/
ATOMIC_SPECIES
H 1.01 H.upf
Pb 207.20 Pb.upf
S 32.06 S.upf
ATOMIC_POSITIONS angstrom
H 0.000 0.000 0.000
H 0.000 3.525 3.525
H 3.525 0.000 3.525
H 3.525 3.525 0.000
Pb 1.762 1.762 1.762
Pb 1.762 1.762 5.287
Pb 1.762 5.287 1.762
Pb 1.762 5.287 5.287
Pb 5.287 1.762 1.762
Pb 5.287 1.762 5.287
Pb 5.287 5.287 1.762
Pb 5.287 5.287 5.287
S 0.000 0.000 3.525
S 0.000 3.525 0.000
S 3.525 0.000 0.000
S 3.525 3.525 3.525
CELL_PARAMETERS angstrom
7.049 0.000 0.000
0.000 7.049 0.000
0.000 0.000 7.049

=====

11.
! GGA-PBE HPbS2, optimized geometry; values from VASP
! V ... 86.30 Å³ per cell
! Energy above the lowest structure with this stoichiometry ... 0.000 eV/atom
! Symmetry ... P1
! N(E_F) ... 0.86 states/eV/f.u.
&SYSTEM
  ibrav = 0, nat = 4, ntyp = 3
/
ATOMIC_SPECIES
H 1.01 H.upf
Pb 207.20 Pb.upf
S 32.06 S.upf
ATOMIC_POSITIONS angstrom
H 0.000 0.000 0.000
Pb 1.420 1.983 2.576
S 3.086 3.153 0.598
S 3.466 0.843 4.021
CELL_PARAMETERS angstrom
4.155 0.000 0.000
1.968 3.666 0.000
1.028 0.574 5.666

=====

12.
! GGA-PBE HPb3S, optimized geometry; values from VASP
! V ... 118.13 Å³ per cell
! Energy above the lowest structure with this stoichiometry ... 0.000 eV/atom
! Symmetry ... Pm-3m
! N(E_F) ... 1.62 states/eV/f.u.
&SYSTEM
  ibrav = 0, nat = 5, ntyp = 3
/
ATOMIC_SPECIES
H 1.01 H.upf
Pb 207.20 Pb.upf
S 32.06 S.upf
ATOMIC_POSITIONS angstrom
H 0.000 0.000 0.000
Pb 0.000 0.000 2.453
Pb 0.000 2.453 0.000
Pb 2.453 0.000 0.000
S 2.453 2.453 2.453
CELL_PARAMETERS angstrom
4.907 0.000 0.000
0.000 4.907 0.000
0.000 0.000 4.907

=====

13.
! GGA-PBE HPbS2, optimized geometry; values from VASP
! V ... 323.94 Å³ per cell
! Energy above the lowest structure with this stoichiometry ... 0.429 eV/atom
! Symmetry ... I-42d
! N(E_F) ... 2.50 states/eV/f.u.
&SYSTEM
  ibrav = 0, nat = 16, ntyp = 3
/
ATOMIC_SPECIES
H 1.01 H.upf
Pb 207.20 Pb.upf
S 32.06 S.upf
ATOMIC_POSITIONS angstrom
H 0.000 0.000 0.000
H 0.000 2.753 2.671
H 2.753 0.000 8.014
H 2.753 2.753 5.343
Pb 0.000 0.000 5.343
Pb 0.000 2.753 8.014
Pb 2.753 0.000 2.671
Pb 2.753 2.753 0.000
S 0.803 1.376 1.336
S 1.376 3.556 4.007
S 1.376 4.703 9.350
S 1.950 1.376 6.679
S 3.556 4.129 6.679
S 4.129 0.803 9.350
S 4.129 1.950 4.007
S 4.703 4.129 1.336
CELL_PARAMETERS angstrom
5.506 0.000 0.000
0.000 5.506 0.000
0.000 0.000 10.686

=====

14.
! GGA-PBE Sb2HPbS, optimized geometry; values from VASP
! V ... 133.26 Å³ per cell
! Energy above the lowest structure with this stoichiometry ... 0.000 eV/atom
! Symmetry ... P4/mmm
! N(E_F) ... 3.72 states/eV/f.u.
&SYSTEM
  ibrav = 0, nat = 5, ntyp = 4
/
ATOMIC_SPECIES
Sb 121.76 Sb.upf
H 1.01 H.upf
Pb 207.20 Pb.upf
S 32.06 S.upf
ATOMIC_POSITIONS angstrom
Sb 0.000 2.257 0.000
Sb 2.257 0.000 0.000
H 0.000 0.000 0.000
Pb 0.000 0.000 3.271
S 2.257 2.257 3.271
CELL_PARAMETERS angstrom
4.513 0.000 0.000
0.000 4.513 0.000
0.000 0.000 6.542

=====

15.
! GGA-PBE Sb2HPbS, optimized geometry; values from VASP
! V ... 154.71 Å³ per cell
! Energy above the lowest structure with this stoichiometry ... 0.426 eV/atom
! Symmetry ... P4/mmm
! N(E_F) ... 2.18 states/eV/f.u.
&SYSTEM
  ibrav = 0, nat = 5, ntyp = 4
/
ATOMIC_SPECIES
Sb 121.76 Sb.upf
H 1.01 H.upf
Pb 207.20 Pb.upf
S 32.06 S.upf
ATOMIC_POSITIONS angstrom
Sb 0.000 2.623 0.000
Sb 2.623 0.000 0.000
H 0.000 0.000 2.812
Pb 2.623 2.623 2.812
S 2.623 2.623 0.000
CELL_PARAMETERS angstrom
5.245 0.000 0.000
0.000 5.245 0.000
0.000 0.000 5.623

=====

16.
! GGA-PBE SbHPb2S, optimized geometry; values from VASP
! V ... 120.81 Å³ per cell
! Final energy ... -3.820 eV/atom
! Symmetry ... P4/mmm
! N(E_F) ... 1.20 states/eV/f.u.
&SYSTEM
  ibrav = 0, nat = 5, ntyp = 4
/
ATOMIC_SPECIES
Sb 121.76 Sb.upf
H 1.01 H.upf
Pb 207.20 Pb.upf
S 32.06 S.upf
ATOMIC_POSITIONS angstrom
Sb 0.000 0.000 0.000
H 2.981 2.981 0.000
Pb 0.000 2.981 1.700
Pb 2.981 0.000 1.700
S 2.981 2.981 1.700
CELL_PARAMETERS angstrom
5.961 0.000 0.000
0.000 5.961 0.000
0.000 0.000 3.399

=====

17.
! GGA-PBE Sm3HPbS, optimized geometry; values from VASP
! V ... 298.96 Å³ per cell
! Final energy ... -5.237 eV/atom
! Symmetry ... P2_1/m
! N(E_F) ... 3.21 states/eV/f.u.
&SYSTEM
  ibrav = 0, nat = 12, ntyp = 4
/
ATOMIC_SPECIES
Sm 150.36 Sm.upf
H 1.01 H.upf
Pb 207.20 Pb.upf
S 32.06 S.upf
ATOMIC_POSITIONS angstrom
Sm 0.095 1.054 2.846
Sm 1.187 1.054 8.296
Sm 2.196 3.161 5.431
Sm 4.514 1.054 3.227
Sm 5.523 3.161 0.362
Sm 6.615 3.161 5.812
H 2.043 3.161 7.794
H 4.667 1.054 0.863
Pb 2.371 3.161 2.109
Pb 4.339 1.054 6.549
S 0.296 1.054 5.618
S 6.414 3.161 3.040
CELL_PARAMETERS angstrom
8.193 0.000 0.000
0.000 4.215 0.000
-1.483 0.000 8.658

=====

18.
! GGA-PBE Tb3HPbS, optimized geometry; values from VASP
! V ... 282.04 Å³ per cell
! Final energy ... -5.177 eV/atom
! Symmetry ... P2_1/m
! N(E_F) ... 3.16 states/eV/f.u.
&SYSTEM
  ibrav = 0, nat = 12, ntyp = 4
/
ATOMIC_SPECIES
Tb 158.93 Tb.upf
H 1.01 H.upf
Pb 207.20 Pb.upf
S 32.06 S.upf
ATOMIC_POSITIONS angstrom
Tb 0.073 1.031 2.788
Tb 1.153 1.031 8.119
Tb 2.143 3.094 5.315
Tb 4.427 1.031 3.162
Tb 5.417 3.094 0.358
Tb 6.497 3.094 5.689
H 1.978 3.094 7.619
H 4.593 1.031 0.858
Pb 2.308 3.094 2.065
Pb 4.263 1.031 6.412
S 0.275 1.031 5.504
S 6.296 3.094 2.973
CELL_PARAMETERS angstrom
8.065 0.000 0.000
0.000 4.126 0.000
-1.494 0.000 8.477

=====

19.
! GGA-PBE VHPb2S, optimized geometry; values from VASP
! V ... 143.67 Å³ per cell
! Final energy ... -4.096 eV/atom
! Symmetry ... P4/mmm
! N(E_F) ... 3.41 states/eV/f.u.
&SYSTEM
  ibrav = 0, nat = 5, ntyp = 4
/
ATOMIC_SPECIES
V 50.94 V.upf
H 1.01 H.upf
Pb 207.20 Pb.upf
S 32.06 S.upf
ATOMIC_POSITIONS angstrom
V 0.000 0.000 0.000
H 2.857 2.857 0.000
Pb 0.000 2.857 2.201
Pb 2.857 0.000 2.201
S 0.000 0.000 2.201
CELL_PARAMETERS angstrom
5.713 0.000 0.000
0.000 5.713 0.000
0.000 0.000 4.401

=====

20.
! GGA-PBE Y3HPbS, optimized geometry; values from VASP
! V ... 280.07 Å³ per cell
! Final energy ... -6.106 eV/atom
! Symmetry ... P2_1/m
! N(E_F) ... 3.30 states/eV/f.u.
&SYSTEM
  ibrav = 0, nat = 12, ntyp = 4
/
ATOMIC_SPECIES
Y 88.91 Y.upf
H 1.01 H.upf
Pb 207.20 Pb.upf
S 32.06 S.upf
ATOMIC_POSITIONS angstrom
Y 0.074 1.027 2.781
Y 1.145 1.027 8.103
Y 2.140 3.080 5.300
Y 4.431 1.027 3.147
Y 5.426 3.080 0.344
Y 6.498 3.080 5.666
H 1.970 3.080 7.589
H 4.602 1.027 0.858
Pb 2.304 3.080 2.071
Pb 4.268 1.027 6.376
S 0.272 1.027 5.498
S 6.299 3.080 2.949
CELL_PARAMETERS angstrom
8.074 0.000 0.000
0.000 4.107 0.000
-1.502 0.000 8.447